[1]
The following is a GGA-PBE calculation of crystalline HoZn4Co at its relaxed geometry, from the Alexandria database.

The calculation puts the uncorrected energy at -17.88 eV per formula unit. Its crystal system is cubic. The value obtained for the formation energy from the elements is -184 meV/atom. As for the calculated volume: 374.0 Å³ per cell. Its energy above the most stable polymorph in this dataset is 47.4 meV per atom.

The structure belongs to space group F-43m (No. 216); the cell edges are 7.205, 7.205 and 7.205 Å and the angles 90.00°, 90.00° and 90.00°. The distinct sites, in fractional coordinates, are Ho at (0.000, 0.000, 0.000), Zn at (0.124, 0.124, 0.624) and Co at (0.250, 0.250, 0.250).



[2]
The following is a GGA-PBE calculation of crystalline HoCdCuSn at its relaxed geometry, from the Alexandria database.

The calculation puts the uncorrected energy at -14.37 eV per formula unit. The density of states at the Fermi level is 0.232 states/eV per atom. Its crystal system is cubic. The value obtained for the formation energy from the elements is -194 meV/atom. As for the calculated volume: 350.2 Å³ per cell.

The structure belongs to space group F-43m (No. 216); the cell edges are 7.048, 7.048 and 7.048 Å and the angles 90.00°, 90.00° and 90.00°. The distinct sites, in fractional coordinates, are Ho at (0.000, 0.000, 0.000), Cd at (0.000, 0.000, 0.500), Cu at (0.250, 0.250, 0.250) and Sn at (0.250, 0.250, 0.750).



[3]
The following is a GGA-PBE calculation of crystalline PmInTe4 at its relaxed geometry, from the Alexandria database.

The calculation puts the uncorrected energy at -23.70 eV per formula unit. Its crystal system is monoclinic. As for the calculated volume: 466.6 Å³ per cell. For the formation energy without anion corrections, the calculation gives -608 meV per atom.

The structure belongs to space group P2_1/m (No. 11); the cell edges are 6.312, 10.070 and 7.900 Å and the angles 90.00°, 111.69° and 90.00°. The distinct sites, in fractional coordinates, are Pm at (0.100, 0.250, 0.205), In at (0.089, 0.750, 0.338), Te at (0.221, 0.554, 0.121), Te at (0.335, 0.250, 0.632) and Te at (0.347, 0.750, 0.708).



[4]
The following is a GGA-PBE calculation of crystalline Tb2Er5Sc at its relaxed geometry, from the Alexandria database.

The calculation puts the uncorrected energy at -37.89 eV per formula unit. The density of states at the Fermi level is 1.629 states/eV per atom. Its crystal system is monoclinic. The value obtained for the formation energy from the elements is 64 meV/atom. As for the calculated volume: 481.6 Å³ per cell. Its energy above the most stable polymorph in this dataset is 33.6 meV per atom.

The structure belongs to space group Cm (No. 8); the cell edges are 11.585, 7.104 and 7.496 Å and the angles 90.00°, 128.68° and 90.00°. The distinct sites, in fractional coordinates, are Tb at (0.000, 0.000, 0.000), Tb at (0.000, 0.500, 0.009), Er at (0.216, 0.251, 0.923), Er at (0.257, 0.249, 0.501), Er at (0.472, 0.500, 0.420) and Sc at (0.474, 0.000, 0.422).